1.
Zn2SbBr (PBEsol, relaxed); polymorph energy (0 for the lowest one) = 0.000 eV/atom; energy = -2.616 eV/atom; total moment = 0.0 μB per formula unit
1.0
5.9492 0.0000 0.0000
0.0000 5.9492 0.0000
0.0000 0.0000 12.4744
Zn Sb Br
8 4 4
direct
0.2271 0.2500 0.1250
0.2500 0.7271 0.3750
0.2500 0.7729 0.8750
0.2729 0.2500 0.6250
0.7271 0.7500 0.6250
0.7500 0.2271 0.8750
0.7500 0.2729 0.3750
0.7729 0.7500 0.1250
0.0000 0.0000 0.0000
0.0000 0.5000 0.2500
0.5000 0.0000 0.7500
0.5000 0.5000 0.5000
0.0000 0.0000 0.5000
0.0000 0.5000 0.7500
0.5000 0.0000 0.2500
0.5000 0.5000 0.0000


2.
ZnSbBr2 (PBEsol, relaxed); energy = -2.335 eV/atom; total moment = 0.0 μB per formula unit
1.0
6.5683 0.0000 0.0000
0.0000 8.3165 0.0000
0.0000 0.0000 3.4808
Zn Sb Br
2 2 4
direct
0.0000 0.0000 0.0000
0.5000 0.5000 0.0000
0.0000 0.5000 0.0000
0.5000 0.0000 0.0000
0.2500 0.2500 0.5000
0.2500 0.7500 0.5000
0.7500 0.2500 0.5000
0.7500 0.7500 0.5000


3.
ZnSbBr2 (PBEsol, relaxed); energy = -2.668 eV/atom; total moment = 0.0 μB per formula unit
1.0
3.8271 0.0000 0.0000
0.0000 6.3083 0.0000
0.0000 0.0000 8.8846
Zn Sb Br
2 2 4
direct
0.0000 0.0000 0.0000
0.5000 0.5000 0.0000
0.0000 0.5000 0.7742
0.5000 0.0000 0.7742
0.0000 0.0000 0.5397
0.0000 0.5000 0.1783
0.5000 0.0000 0.1783
0.5000 0.5000 0.5397


4.
Zn2SbBr (PBEsol, relaxed); polymorph energy (0 for the lowest one) = 0.089 eV/atom; energy = -2.527 eV/atom; total moment = 0.0 μB per formula unit
1.0
3.5157 0.0000 0.0000
0.0000 4.4622 0.0000
0.0000 0.0000 5.4656
Zn Sb Br
2 1 1
direct
0.0000 0.0000 0.0000
0.5000 0.5000 0.5000
0.0000 0.0000 0.5000
0.5000 0.5000 0.0000


5.
ZnSbBr (PBEsol, relaxed); energy = -2.622 eV/atom; total moment = 0.0 μB per formula unit
1.0
3.3489 0.0000 0.0000
0.0000 3.3489 0.0000
0.0000 0.0000 12.2520
Zn Sb Br
2 2 2
direct
0.0000 0.0000 0.0000
0.5000 0.5000 0.5000
0.0000 0.0000 0.3551
0.5000 0.5000 0.8551
0.0000 0.0000 0.6309
0.5000 0.5000 0.1309


6.
ZnSb2Br (PBEsol, relaxed); polymorph energy (0 for the lowest one) = 0.145 eV/atom; energy = -3.015 eV/atom; total moment = 0.0 μB per formula unit
1.0
7.2241 0.0000 0.0000
0.0000 7.2241 0.0000
0.0000 0.0000 7.2241
Zn Sb Br
4 8 4
direct
0.0000 0.0000 0.0000
0.0000 0.5000 0.5000
0.5000 0.0000 0.5000
0.5000 0.5000 0.0000
0.0000 0.0000 0.5000
0.0000 0.5000 0.0000
0.2500 0.2500 0.2500
0.2500 0.7500 0.7500
0.5000 0.0000 0.0000
0.5000 0.5000 0.5000
0.7500 0.2500 0.7500
0.7500 0.7500 0.2500
0.2500 0.2500 0.7500
0.2500 0.7500 0.2500
0.7500 0.2500 0.2500
0.7500 0.7500 0.7500


7.
ZnSb2Br (PBEsol, relaxed); polymorph energy (0 for the lowest one) = 0.150 eV/atom; energy = -3.009 eV/atom; total moment = 0.0 μB per formula unit
1.0
3.3516 0.0000 0.0000
0.0000 5.0394 0.0000
0.0000 0.0000 11.4091
Zn Sb Br
2 4 2
direct
0.0000 0.0000 0.0000
0.5000 0.5000 0.5000
0.0000 0.0000 0.5548
0.0000 0.5000 0.2891
0.5000 0.0000 0.7891
0.5000 0.5000 0.0548
0.0000 0.5000 0.7766
0.5000 0.0000 0.2766


8.
ZnSb2Br (PBEsol, relaxed); polymorph energy (0 for the lowest one) = 0.000 eV/atom; energy = -3.159 eV/atom; total moment = 0.0 μB per formula unit
1.0
4.2878 0.0000 0.0000
0.0000 4.2878 0.0000
0.0000 0.0000 5.7123
Zn Sb Br
1 2 1
direct
0.0000 0.0000 0.0000
0.0000 0.0000 0.5000
0.5000 0.5000 0.5000
0.5000 0.5000 0.0000


Number 1: E_form (uncorrected) -0.22 eV/atom. Number 2: E_form (uncorrected) 0.14 eV/atom. Number 3: E_form (uncorrected) -0.20 eV/atom. Number 4: E_form (uncorrected) -0.13 eV/atom. Number 5: E_form (uncorrected) 0.05 eV/atom. Number 6: E_form (uncorrected) 0.13 eV/atom. Number 7: E_form (uncorrected) 0.13 eV/atom. Number 8: E_form (uncorrected) -0.02 eV/atom.